[1]
Computed, not measured: crystalline ScF at its relaxed geometry at the PBE-GGA level of DFT.

Calculated values
The calculation puts the uncorrected formation energy at -2.377 eV per atom. The calculation puts the polymorph energy (0 for the lowest one) at 0.098 eV per atom. Its total energy is -0.238 hartree per atom.

Lattice parameters (Å, degrees): 3.277 9.544 5.551 90.00 90.00 90.00
Positions (direct):
Sc (0.000, 0.336, 0.750)
Sc (0.000, 0.664, 0.750)
Sc (0.000, 0.836, 0.250)
Sc (0.000, 0.164, 0.250)
Sc (0.500, 0.000, 0.813)
Sc (0.500, 0.500, 0.313)
F (0.500, 0.799, 0.587)
F (0.500, 0.201, 0.587)
F (0.500, 0.299, 0.087)
F (0.500, 0.701, 0.087)
F (0.000, 0.000, 0.516)
F (0.000, 0.500, 0.016)

---

[2]
Computed, not measured: crystalline ScF at its relaxed geometry at the PBE-GGA level of DFT.

Calculated values
The calculation puts the uncorrected formation energy at -2.454 eV per atom. The calculation puts the polymorph energy (0 for the lowest one) at 0.021 eV per atom. Its total energy is -0.241 hartree per atom.

Lattice parameters (Å, degrees): 7.247 9.978 7.068 90.00 90.00 90.00
Positions (direct):
Sc (0.269, 0.000, 0.000)
Sc (0.731, 0.000, 0.000)
Sc (0.981, 0.750, 0.250)
Sc (0.519, 0.750, 0.250)
Sc (0.269, 0.500, 0.500)
Sc (0.731, 0.500, 0.500)
Sc (0.981, 0.250, 0.750)
Sc (0.519, 0.250, 0.750)
Sc (0.769, 0.000, 0.500)
Sc (0.231, 0.000, 0.500)
Sc (0.481, 0.750, 0.750)
Sc (0.019, 0.750, 0.750)
Sc (0.769, 0.500, 0.000)
Sc (0.231, 0.500, 0.000)
Sc (0.481, 0.250, 0.250)
Sc (0.019, 0.250, 0.250)
F (0.000, 0.876, 0.000)
F (0.000, 0.124, 0.000)
F (0.250, 0.874, 0.250)
F (0.250, 0.626, 0.250)
F (0.000, 0.376, 0.500)
F (0.000, 0.624, 0.500)
F (0.250, 0.374, 0.750)
F (0.250, 0.126, 0.750)
F (0.500, 0.876, 0.500)
F (0.500, 0.124, 0.500)
F (0.750, 0.874, 0.750)
F (0.750, 0.626, 0.750)
F (0.500, 0.376, 0.000)
F (0.500, 0.624, 0.000)
F (0.750, 0.374, 0.250)
F (0.750, 0.126, 0.250)

---

[3]
Computed, not measured: crystalline ScF3 at its relaxed geometry at the PBE-GGA level of DFT.

Calculated values
The calculation puts the uncorrected formation energy at -3.981 eV per atom. Its total energy is -0.256 hartree per atom.

Lattice parameters (Å, degrees): 5.744 5.744 5.744 59.89 59.89 59.89
Positions (direct):
Sc (0.000, 0.000, 0.000)
Sc (0.500, 0.500, 0.500)
F (0.750, 0.227, 0.273)
F (0.273, 0.750, 0.227)
F (0.227, 0.273, 0.750)
F (0.250, 0.773, 0.727)
F (0.727, 0.250, 0.773)
F (0.773, 0.727, 0.250)

---

[4]
Computed, not measured: crystalline ScF at its relaxed geometry at the PBE-GGA level of DFT.

Calculated values
The calculation puts the uncorrected formation energy at -2.320 eV per atom. The calculation puts the polymorph energy (0 for the lowest one) at 0.155 eV per atom. Its total energy is -0.236 hartree per atom.

Lattice parameters (Å, degrees): 9.185 9.185 3.397 90.00 90.00 90.00
Positions (direct):
Sc (0.415, 0.176, 0.000)
Sc (0.585, 0.824, 0.000)
Sc (0.824, 0.415, 0.000)
Sc (0.176, 0.585, 0.000)
Sc (0.915, 0.676, 0.500)
Sc (0.085, 0.324, 0.500)
Sc (0.324, 0.915, 0.500)
Sc (0.676, 0.085, 0.500)
F (0.372, 0.720, 0.000)
F (0.628, 0.280, 0.000)
F (0.280, 0.372, 0.000)
F (0.720, 0.628, 0.000)
F (0.872, 0.220, 0.500)
F (0.128, 0.780, 0.500)
F (0.780, 0.872, 0.500)
F (0.220, 0.128, 0.500)

---

What is the formula in the third record? ScF3